1.
# MgSnOs2 | Alexandria | GGA-PBE | optimized geometry
# Raw total energy   -96.8 eV for the cell shown
# DOS(E_F)   4.11 states/eV/f.u.
# Magnetic moment   0.000 μB/f.u.
# E_form   0.964 eV per atom
data_MgSnOs2
_chemical_formula_sum 'Mg4 Sn4 Os8'
_symmetry_space_group_name_H-M 'I -4 2 d'
_symmetry_Int_Tables_number 122
_symmetry_space_group_name_Hall 'I -4 2bw'
_cell_length_a 7.464
_cell_length_b 7.464
_cell_length_c 5.298
_cell_angle_alpha 90.00
_cell_angle_beta 90.00
_cell_angle_gamma 90.00
loop_
_atom_site_label
_atom_site_type_symbol
_atom_site_fract_x
_atom_site_fract_y
_atom_site_fract_z
Mg1 Mg 0.000 0.000 0.000
Sn1 Sn 0.000 0.000 0.500
Os1 Os 0.240 0.250 0.625



2.
# KAg2TeI8 | Alexandria | GGA-PBE | optimized geometry
# Raw total energy   -26.4 eV for the cell shown
# DOS(E_F)   6.79 states/eV/f.u.
# Magnetic moment   0.000 μB/f.u.
# Energy relative to the elements, uncorrected   -387 kJ/mol of formula units
data_KAg2TeI8
_chemical_formula_sum 'K1 Ag2 Te1 I8'
_symmetry_space_group_name_H-M 'P -1'
_symmetry_Int_Tables_number 2
_symmetry_space_group_name_Hall '-P 1'
_cell_length_a 7.322
_cell_length_b 7.617
_cell_length_c 9.818
_cell_angle_alpha 81.53
_cell_angle_beta 70.98
_cell_angle_gamma 81.51
loop_
_atom_site_label
_atom_site_type_symbol
_atom_site_fract_x
_atom_site_fract_y
_atom_site_fract_z
K1 K 0.000 0.000 0.000
Ag1 Ag 0.463 0.533 0.207
Te1 Te 0.500 0.000 0.500
I1 I 0.131 0.850 0.655
I2 I 0.210 0.507 0.036
I3 I 0.274 0.360 0.473
I4 I 0.479 0.916 0.215



3.
# ZrRu2PbAu | Alexandria | GGA-PBE | optimized geometry
# Raw total energy   -27.5 eV for the cell shown
# DOS(E_F)   6.57 states/eV/f.u.
# Magnetic moment   0.001 μB/f.u.
# E_form   1.316 eV per atom
data_ZrRu2PbAu
_chemical_formula_sum 'Zr1 Ru2 Pb1 Au1'
_symmetry_space_group_name_H-M 'P 4/m m m'
_symmetry_Int_Tables_number 123
_symmetry_space_group_name_Hall '-P 4 2'
_cell_length_a 4.932
_cell_length_b 4.932
_cell_length_c 4.999
_cell_angle_alpha 90.00
_cell_angle_beta 90.00
_cell_angle_gamma 90.00
loop_
_atom_site_label
_atom_site_type_symbol
_atom_site_fract_x
_atom_site_fract_y
_atom_site_fract_z
Zr1 Zr 0.000 0.000 0.000
Ru1 Ru 0.000 0.500 0.500
Pb1 Pb 0.500 0.500 0.000
Au1 Au 0.000 0.000 0.500



4.
# Re2AsPt | Alexandria | GGA-PBE | optimized geometry
# Raw total energy   -34.1 eV for the cell shown
# DOS(E_F)   3.30 states/eV/f.u.
# Magnetic moment   0.000 μB/f.u.
# E_form   0.360 eV per atom
data_Re2AsPt
_chemical_formula_sum 'Re2 As1 Pt1'
_symmetry_space_group_name_H-M 'P 1 2/m 1'
_symmetry_Int_Tables_number 10
_symmetry_space_group_name_Hall '-P 2y'
_cell_length_a 4.693
_cell_length_b 2.797
_cell_length_c 5.036
_cell_angle_alpha 90.00
_cell_angle_beta 111.90
_cell_angle_gamma 90.00
loop_
_atom_site_label
_atom_site_type_symbol
_atom_site_fract_x
_atom_site_fract_y
_atom_site_fract_z
Re1 Re 0.000 0.000 0.000
Re2 Re 0.000 0.500 0.500
As1 As 0.500 0.000 0.500
Pt1 Pt 0.500 0.500 0.000



5.
# Ag2AuCl | Alexandria | GGA-PBE | optimized geometry
# Energy above the most stable polymorph in this dataset   0.000 eV per atom
# Raw total energy   -11.3 eV for the cell shown
# DOS(E_F)   0.59 states/eV/f.u.
# Magnetic moment   0.000 μB/f.u.
# Energy relative to the elements, uncorrected   -50 kJ/mol of formula units
data_Ag2AuCl
_chemical_formula_sum 'Ag2 Au1 Cl1'
_symmetry_space_group_name_H-M 'P 1 2/m 1'
_symmetry_Int_Tables_number 10
_symmetry_space_group_name_Hall '-P 2y'
_cell_length_a 3.514
_cell_length_b 3.466
_cell_length_c 6.964
_cell_angle_alpha 90.00
_cell_angle_beta 90.40
_cell_angle_gamma 90.00
loop_
_atom_site_label
_atom_site_type_symbol
_atom_site_fract_x
_atom_site_fract_y
_atom_site_fract_z
Ag1 Ag 0.003 0.000 0.207
Au1 Au 0.500 0.500 0.000
Cl1 Cl 0.000 0.500 0.500



6.
# ScIr4Rh | Alexandria | GGA-PBE | optimized geometry
# Raw total energy   -199.1 eV for the cell shown
# DOS(E_F)   12.18 states/eV/f.u.
# Magnetic moment   2.212 μB/f.u.
# E_form   -0.109 eV per atom
data_ScIr4Rh
_chemical_formula_sum 'Sc4 Ir16 Rh4'
_symmetry_space_group_name_H-M 'F -4 3 m'
_symmetry_Int_Tables_number 216
_symmetry_space_group_name_Hall 'F -4 2 3'
_cell_length_a 7.330
_cell_length_b 7.330
_cell_length_c 7.330
_cell_angle_alpha 90.00
_cell_angle_beta 90.00
_cell_angle_gamma 90.00
loop_
_atom_site_label
_atom_site_type_symbol
_atom_site_fract_x
_atom_site_fract_y
_atom_site_fract_z
Sc1 Sc 0.000 0.000 0.000
Ir1 Ir 0.125 0.125 0.625
Rh1 Rh 0.250 0.250 0.250



Q: What is the formula in the fifth record?
A: Ag2AuCl



Q: Among the records above, which one has the lowest DOS(E_F)?
A: Ag2AuCl



Q: Which of these has the highest raw total energy?
A: Ag2AuCl



Q: Among the records above, which one has the lowest DOS(E_F)?
A: Ag2AuCl